Below is an optimized crystal structure of Na2MnGeO5, with properties calculated at the GGA+U level.

a b c (Å): 6.189 6.189 11.684
angles (deg): 90.00 90.00 151.46
Fractional positions:
Na 0.079 0.921 0.500
Na 0.158 0.842 0.095
Na 0.842 0.158 0.595
Na 0.921 0.079 0.000
Mn 0.236 0.764 0.845
Mn 0.764 0.236 0.345
Ge 0.476 0.524 0.267
Ge 0.524 0.476 0.767
O 0.070 0.930 0.847
O 0.267 0.733 0.452
O 0.294 0.706 0.240
O 0.391 0.609 0.842
O 0.492 0.508 0.623
O 0.508 0.492 0.123
O 0.609 0.391 0.342
O 0.706 0.294 0.740
O 0.733 0.267 0.952
O 0.930 0.070 0.347

Symmetry   Cmc2_1

Below is an optimized crystal structure of Na2Mn2GeO6, with properties calculated at the GGA+U level.

a b c (Å): 5.092 5.092 5.782
angles (deg): 98.85 98.85 119.77
Fractional positions:
Na 0.170 0.830 0.000
Na 0.830 0.170 0.000
Mn 0.333 0.667 0.500
Mn 0.667 0.333 0.500
Ge 0.000 0.000 0.500
O 0.058 0.388 0.687
O 0.258 0.258 0.316
O 0.388 0.058 0.687
O 0.612 0.942 0.313
O 0.742 0.742 0.684
O 0.942 0.612 0.313

Symmetry   C2/m

Below is an optimized crystal structure of Na3Mn3GeO8, with properties calculated at the GGA+U level.

a b c (Å): 6.268 6.268 6.482
angles (deg): 118.02 118.02 55.23
Fractional positions:
Na 0.000 0.000 0.000
Na 0.000 0.500 0.000
Na 0.500 0.000 0.000
Mn 0.000 0.500 0.500
Mn 0.500 0.000 0.500
Mn 0.500 0.500 0.500
Ge 0.000 0.000 0.500
O 0.216 0.216 0.675
O 0.242 0.758 0.301
O 0.242 0.758 0.699
O 0.254 0.254 0.302
O 0.746 0.746 0.698
O 0.758 0.242 0.301
O 0.758 0.242 0.699
O 0.784 0.784 0.325

Symmetry   C2/m

Table of total DFT energy (no corrections) (eV/atom), in record order: -5.95, -6.22, -6.39
Table of size of the total moment (μB/cell), in record order: 6.0, 4.0, 12.0